# 1
Here is DyGeB4 after structural relaxation from OQMD. Energies are from PBE-GGA.

Results
space group: P6/mmm (191)
final energy: -5.954 eV/atom
total magnetic moment: 0.001 μB per atom

Cell lengths 3.175, 3.175, 7.747 Å; angles 90.00, 90.00, 120.00 degrees
Sites, in units of the cell vectors:
Dy: 0.000 0.000 0.000
Ge: 0.000 0.000 0.500
B: 0.333 0.667 0.253
B: 0.333 0.667 0.747
B: 0.667 0.333 0.253
B: 0.667 0.333 0.747


# 2
Here is DyHfB after structural relaxation from OQMD. Energies are from PBE-GGA.

Results
space group: F-43m (216)
final energy: -6.980 eV/atom
total magnetic moment: 0.003 μB per atom

Cell lengths 4.324, 4.324, 4.324 Å; angles 60.00, 60.00, 60.00 degrees
Sites, in units of the cell vectors:
Dy: 0.000 0.000 0.000
Hf: 0.500 0.500 0.500
B: 0.250 0.250 0.250


# 3
Here is DyHgB4 after structural relaxation from OQMD. Energies are from PBE-GGA.

Results
space group: P6/mmm (191)
final energy: -5.054 eV/atom
total magnetic moment: 0.003 μB per atom

Cell lengths 3.222, 3.222, 7.906 Å; angles 90.00, 90.00, 120.00 degrees
Sites, in units of the cell vectors:
Dy: 0.000 0.000 0.000
Hg: 0.000 0.000 0.500
B: 0.333 0.667 0.240
B: 0.333 0.667 0.760
B: 0.667 0.333 0.240
B: 0.667 0.333 0.760


# 4
Here is DyHgB4 after structural relaxation from OQMD. Energies are from PBE-GGA.

Results
space group: Immm (71)
final energy: -5.269 eV/atom
total magnetic moment: 0.000 μB per atom

Cell lengths 5.205, 5.205, 5.205 Å; angles 144.12, 118.71, 73.10 degrees
Sites, in units of the cell vectors:
Dy: 0.000 0.000 0.000
Hg: 0.500 0.500 0.000
B: 0.051 0.733 0.318
B: 0.415 0.733 0.682
B: 0.585 0.267 0.318
B: 0.949 0.267 0.682


# 5
Here is DyHoB after structural relaxation from OQMD. Energies are from PBE-GGA.

Results
space group: F-43m (216)
final energy: -5.220 eV/atom
total magnetic moment: 0.003 μB per atom

Cell lengths 4.512, 4.512, 4.512 Å; angles 60.00, 60.00, 60.00 degrees
Sites, in units of the cell vectors:
Dy: 0.000 0.000 0.000
Ho: 0.500 0.500 0.500
B: 0.250 0.250 0.250


# 6
Here is DyHoB3 after structural relaxation from OQMD. Energies are from PBE-GGA.

Results
space group: Cm (8)
final energy: -5.999 eV/atom
total magnetic moment: 0.003 μB per atom

Cell lengths 3.710, 3.710, 6.325 Å; angles 106.23, 106.23, 89.98 degrees
Sites, in units of the cell vectors:
Dy: 0.000 0.000 0.000
Ho: 0.292 0.292 0.568
B: 0.505 0.505 0.008
B: 0.645 0.645 0.283
B: 0.786 0.786 0.558


# 7
Here is Dy2Ho2BI5 after structural relaxation from OQMD. Energies are from PBE-GGA.

Results
space group: C2/m (12)
final energy: -4.353 eV/atom
total magnetic moment: 0.003 μB per atom

Cell lengths 9.793, 9.793, 8.637 Å; angles 102.23, 102.23, 23.81 degrees
Sites, in units of the cell vectors:
Dy: 0.134 0.134 0.067
Dy: 0.866 0.866 0.933
Ho: 0.499 0.499 0.194
Ho: 0.501 0.501 0.806
B: 0.000 0.000 0.000
I: 0.000 0.000 0.500
I: 0.331 0.331 0.177
I: 0.336 0.336 0.659
I: 0.664 0.664 0.341
I: 0.669 0.669 0.823


# 8
Here is DyHoB2Ir2N2 after structural relaxation from OQMD. Energies are from PBE-GGA.

Results
space group: P4mm (99)
final energy: -8.270 eV/atom
total magnetic moment: 0.002 μB per atom

Cell lengths 3.743, 3.743, 7.425 Å; angles 90.00, 90.00, 90.00 degrees
Sites, in units of the cell vectors:
Dy: 0.000 0.000 0.000
Ho: 0.500 0.500 0.324
B: 0.000 0.000 0.506
B: 0.500 0.500 0.819
Ir: 0.000 0.500 0.662
Ir: 0.500 0.000 0.662
N: 0.000 0.000 0.305
N: 0.500 0.500 0.020


# 9
Here is DyHoB2P2Ir2 after structural relaxation from OQMD. Energies are from PBE-GGA.

Results
space group: P4mm (99)
final energy: -7.338 eV/atom
total magnetic moment: 0.000 μB per atom

Cell lengths 3.930, 3.930, 8.321 Å; angles 90.00, 90.00, 90.00 degrees
Sites, in units of the cell vectors:
Dy: 0.000 0.000 0.000
Ho: 0.500 0.500 0.390
B: 0.000 0.000 0.581
B: 0.500 0.500 0.810
P: 0.000 0.000 0.342
P: 0.500 0.500 0.050
Ir: 0.000 0.500 0.695
Ir: 0.500 0.000 0.695


# 10
Here is DyHoB4N after structural relaxation from OQMD. Energies are from PBE-GGA.

Results
space group: Imm2 (44)
final energy: -7.146 eV/atom
total magnetic moment: 0.000 μB per atom

Cell lengths 5.191, 5.191, 5.191 Å; angles 143.55, 103.51, 87.83 degrees
Sites, in units of the cell vectors:
Dy: 0.000 0.000 0.000
Ho: 0.467 0.467 0.000
B: 0.005 0.734 0.272
B: 0.462 0.734 0.728
B: 0.594 0.233 0.361
B: 0.872 0.233 0.639
N: 0.235 0.735 0.500


# 11
Here is DyHoBN2 after structural relaxation from OQMD. Energies are from PBE-GGA.

Results
space group: Cm (8)
final energy: -7.586 eV/atom
total magnetic moment: 0.000 μB per atom

Cell lengths 3.459, 3.459, 5.944 Å; angles 106.82, 106.82, 90.00 degrees
Sites, in units of the cell vectors:
Dy: 0.000 0.000 0.000
Ho: 0.702 0.702 0.410
B: 0.352 0.352 0.706
N: 0.214 0.214 0.434
N: 0.489 0.489 0.977


# 12
Here is Dy2HoNi2B2N3 after structural relaxation from OQMD. Energies are from PBE-GGA.

Results
space group: I4/mmm (139)
final energy: -7.558 eV/atom
total magnetic moment: 0.000 μB per atom

Cell lengths 10.300, 10.300, 10.300 Å; angles 160.63, 160.63, 27.53 degrees
Sites, in units of the cell vectors:
Dy: 0.123 0.123 0.000
Dy: 0.877 0.877 0.000
Ho: 0.500 0.500 0.000
Ni: 0.250 0.750 0.500
Ni: 0.750 0.250 0.500
B: 0.311 0.311 0.000
B: 0.689 0.689 0.000
N: 0.000 0.000 0.000
N: 0.384 0.384 0.000
N: 0.616 0.616 0.000